Compound: PmNd2Cd8
Source: Alexandria via LeMat-Bulk
Functional: PBE-GGA
Structure: optimized geometry

Results
The electronic total energy is -0.1637 Ry per atom. The calculation puts the calculated volume at 25.3 Å³/atom. For the formation energy, the calculation gives -0.263 eV/atom.

```
PmNd2Cd8
1.0
8.071 -2.536 0.000
8.071 2.536 0.000
-2.066 0.000 6.786
Pm Nd Cd
1 2 8
direct
0.000 0.000 0.000 Pm
0.286 0.286 0.354 Nd
0.714 0.714 0.646 Nd
0.089 0.089 0.468 Cd
0.175 0.175 0.896 Cd
0.356 0.356 0.871 Cd
0.487 0.487 0.285 Cd
0.513 0.513 0.715 Cd
0.644 0.644 0.129 Cd
0.825 0.825 0.104 Cd
0.911 0.911 0.532 Cd
```